Record 1
Compound: HoInCo4
Source: the Alexandria database
Functional: meta-GGA SCAN
Structure: PBEsol geometry

a = 4.889 Å, b = 4.889 Å, c = 4.889 Å
α = 60.00°, β = 60.00°, γ = 60.00°
Element x y z (fractional)
Co1 0.123 0.626 0.626
Co2 0.626 0.123 0.626
Co3 0.626 0.626 0.123
Co4 0.626 0.626 0.626
Ho1 0.250 0.250 0.250
In1 0.000 0.000 0.000

Record 2
Compound: Hf2HgBiP
Source: the Alexandria database
Functional: meta-GGA SCAN
Structure: PBEsol geometry

a = 4.810 Å, b = 4.810 Å, c = 5.306 Å
α = 90.00°, β = 90.00°, γ = 90.00°
Element x y z (fractional)
P1 0.000 0.000 0.000
Hf1 0.000 0.500 0.000
Hf2 0.500 0.000 0.000
Bi1 0.000 0.000 0.500
Hg1 0.500 0.500 0.500

Record 3
Compound: Zn3Au
Source: the Alexandria database
Functional: meta-GGA SCAN
Structure: PBEsol geometry

a = 4.621 Å, b = 5.403 Å, c = 5.403 Å
α = 120.00°, β = 90.00°, γ = 90.00°
Element x y z (fractional)
Zn1 0.250 0.330 0.165
Zn2 0.250 0.835 0.165
Zn3 0.250 0.835 0.670
Zn4 0.750 0.670 0.835
Zn5 0.750 0.165 0.835
Zn6 0.750 0.165 0.330
Au1 0.750 0.667 0.333
Au2 0.250 0.333 0.667

Energy of formation from the pure elements, respectively: -0.11, 0.24, -0.19 eV/atom.